Record 1
A plane-wave DFT calculation with PBE was carried out for crystalline LaHf2Re2 at its relaxed geometry.

Its space-group type is P4/mbm. The value obtained for the total energy is -9.866 eV per atom. The density of states at the Fermi level comes out at 4.47 states/eV/f.u.

a b c (Å): 8.0435 8.0435 3.2334
angles (deg): 90.00 90.00 90.00
Positions (direct):
La  0.0000  0.0000  0.0000
La  0.5000  0.5000  0.0000
Hf  0.1398  0.3602  0.5000
Hf  0.3602  0.8602  0.5000
Hf  0.6398  0.1398  0.5000
Hf  0.8602  0.6398  0.5000
Re  0.1491  0.6491  0.0000
Re  0.3509  0.1491  0.0000
Re  0.6491  0.8509  0.0000
Re  0.8509  0.3509  0.0000



Record 2
A plane-wave DFT calculation with PBE was carried out for crystalline La2HfRe at its relaxed geometry.

Its space-group type is Fm-3m. The value obtained for the total energy is -7.452 eV per atom. The density of states at the Fermi level comes out at 7.36 states/eV/f.u.

a b c (Å): 5.2069 5.2069 5.2069
angles (deg): 60.00 60.00 60.00
Positions (direct):
La  0.2500  0.2500  0.2500
La  0.7500  0.7500  0.7500
Hf  0.0000  0.0000  0.0000
Re  0.5000  0.5000  0.5000



Record 3
A plane-wave DFT calculation with PBE was carried out for crystalline La2HfRe at its relaxed geometry.

Its space-group type is I-42d. The value obtained for the total energy is -7.441 eV per atom. The density of states at the Fermi level comes out at 5.57 states/eV/f.u.

a b c (Å): 7.6106 7.6106 7.6106
angles (deg): 96.73 96.73 139.96
Positions (direct):
La  0.3750  0.2398  0.3648
La  0.7602  0.1250  0.1352
La  0.8750  0.0102  0.6352
La  0.9898  0.6250  0.8648
Hf  0.2500  0.7500  0.5000
Hf  0.5000  0.5000  0.0000
Re  0.0000  0.0000  0.0000
Re  0.7500  0.2500  0.5000



Record 4
A plane-wave DFT calculation with PBE was carried out for crystalline La3HfRe at its relaxed geometry.

Its space-group type is Pm-3m. The value obtained for the total energy is -6.806 eV per atom. The density of states at the Fermi level comes out at 7.01 states/eV/f.u.

a b c (Å): 5.5074 5.5074 5.5074
angles (deg): 90.00 90.00 90.00
Positions (direct):
La  0.0000  0.0000  0.5000
La  0.0000  0.5000  0.0000
La  0.5000  0.0000  0.0000
Hf  0.5000  0.5000  0.5000
Re  0.0000  0.0000  0.0000



Record 5
A plane-wave DFT calculation with PBE was carried out for crystalline LaHf2Re2 at its relaxed geometry.

Its space-group type is I4/mmm. The value obtained for the total energy is -9.931 eV per atom. The density of states at the Fermi level comes out at 3.94 states/eV/f.u.

a b c (Å): 6.6001 6.6001 6.6001
angles (deg): 140.85 140.85 56.56
Positions (direct):
La  0.0000  0.0000  0.0000
Hf  0.2500  0.7500  0.5000
Hf  0.7500  0.2500  0.5000
Re  0.3918  0.3918  0.0000
Re  0.6082  0.6082  0.0000



Record 6
A plane-wave DFT calculation with PBE was carried out for crystalline La3HfRe at its relaxed geometry.

Its space-group type is Pm-3m. The value obtained for the total energy is -5.931 eV per atom. The density of states at the Fermi level comes out at 9.94 states/eV/f.u.

a b c (Å): 5.6132 5.6132 5.6132
angles (deg): 90.00 90.00 90.00
Positions (direct):
La  0.0000  0.0000  0.5000
La  0.0000  0.5000  0.0000
La  0.5000  0.0000  0.0000
Hf  0.0000  0.0000  0.0000
Re  0.5000  0.5000  0.5000



Record 7
A plane-wave DFT calculation with PBE was carried out for crystalline LaHfReSb2 at its relaxed geometry.

Its space-group type is P4/mmm. As for the uncorrected formation energy: 0.6313 eV per atom. The value obtained for the total energy is -6.483 eV per atom. The density of states at the Fermi level comes out at 6.24 states/eV/f.u.

a b c (Å): 5.2267 5.2267 5.1929
angles (deg): 90.00 90.00 90.00
Positions (direct):
La  0.0000  0.0000  0.0000
Hf  0.5000  0.5000  0.0000
Re  0.0000  0.0000  0.5000
Sb  0.0000  0.5000  0.5000
Sb  0.5000  0.0000  0.5000



Record 8
A plane-wave DFT calculation with PBE was carried out for crystalline LaHfRe2Tc at its relaxed geometry.

Its space-group type is P4/mmm. The value obtained for the total energy is -8.584 eV per atom. The density of states at the Fermi level comes out at 4.98 states/eV/f.u.

a b c (Å): 4.9215 4.9215 4.8347
angles (deg): 90.00 90.00 90.00
Positions (direct):
La  0.0000  0.0000  0.0000
Hf  0.5000  0.5000  0.5000
Re  0.0000  0.5000  0.5000
Re  0.5000  0.0000  0.5000
Tc  0.5000  0.5000  0.0000